No. 1
Below is a relaxed Er3TmSb2 crystal, with properties calculated at the PBE-GGA level.

## Properties
crystal system: tetragonal
uncorrected formation energy: -768 meV/atom
total magnetization: 0.00 μB/cell
polymorph energy (0 for the lowest one): 0 meV per atom
volume: 27.41 Å³ per atom

```
data_Er3TmSb2
_symmetry_space_group_name_H-M 'P 1'
_symmetry_Int_Tables_number 1
_cell_length_a 4.436
_cell_length_b 4.436
_cell_length_c 8.355
_cell_angle_alpha 90.00
_cell_angle_beta 90.00
_cell_angle_gamma 90.00
loop_
_symmetry_equiv_pos_as_xyz
'x,y,z'
loop_
_atom_site_label
_atom_site_fract_x
_atom_site_fract_y
_atom_site_fract_z
Er1 0.000 0.000 0.000
Er2 0.000 0.500 0.652
Er3 0.500 0.000 0.348
Tm1 0.500 0.500 0.000
Sb1 0.000 0.500 0.281
Sb2 0.500 0.000 0.719
```


No. 2
Below is a relaxed AlFeAs crystal, with properties calculated at the PBE-GGA level.

## Properties
crystal system: cubic
total magnetization: 2.00 μB/cell
polymorph energy (0 for the lowest one): 321 meV per atom
volume: 16.37 Å³ per atom

```
data_AlFeAs
_symmetry_space_group_name_H-M 'P 1'
_symmetry_Int_Tables_number 1
_cell_length_a 4.111
_cell_length_b 4.111
_cell_length_c 4.111
_cell_angle_alpha 60.00
_cell_angle_beta 60.00
_cell_angle_gamma 60.00
loop_
_symmetry_equiv_pos_as_xyz
'x,y,z'
loop_
_atom_site_label
_atom_site_fract_x
_atom_site_fract_y
_atom_site_fract_z
Al1 0.000 0.000 0.000
Fe1 0.500 0.500 0.500
As1 0.750 0.750 0.750
```


No. 3
Below is a relaxed Re3SeCl crystal, with properties calculated at the PBE-GGA level.

## Properties
crystal system: cubic
uncorrected formation energy: 2066 meV/atom
total magnetization: 0.63 μB/cell
polymorph energy (0 for the lowest one): 0 meV per atom
volume: 17.17 Å³ per atom

```
data_Re3SeCl
_symmetry_space_group_name_H-M 'P 1'
_symmetry_Int_Tables_number 1
_cell_length_a 4.411
_cell_length_b 4.411
_cell_length_c 4.411
_cell_angle_alpha 90.00
_cell_angle_beta 90.00
_cell_angle_gamma 90.00
loop_
_symmetry_equiv_pos_as_xyz
'x,y,z'
loop_
_atom_site_label
_atom_site_fract_x
_atom_site_fract_y
_atom_site_fract_z
Re1 0.000 0.000 0.500
Re2 0.000 0.500 0.000
Re3 0.500 0.000 0.000
Se1 0.500 0.500 0.500
Cl1 0.000 0.000 0.000
```


No. 4
Below is a relaxed Mo3RuS crystal, with properties calculated at the PBE-GGA level.

## Properties
crystal system: cubic
uncorrected formation energy: 693 meV/atom
total magnetization: 0.00 μB/cell
polymorph energy (0 for the lowest one): 0 meV per atom
volume: 16.70 Å³ per atom

```
data_Mo3RuS
_symmetry_space_group_name_H-M 'P 1'
_symmetry_Int_Tables_number 1
_cell_length_a 4.371
_cell_length_b 4.371
_cell_length_c 4.371
_cell_angle_alpha 90.00
_cell_angle_beta 90.00
_cell_angle_gamma 90.00
loop_
_symmetry_equiv_pos_as_xyz
'x,y,z'
loop_
_atom_site_label
_atom_site_fract_x
_atom_site_fract_y
_atom_site_fract_z
Mo1 0.000 0.000 0.500
Mo2 0.000 0.500 0.000
Mo3 0.500 0.000 0.000
Ru1 0.500 0.500 0.500
S1 0.000 0.000 0.000
```